## i
A relaxed structure of MnReP2Cl. Source: the Alexandria database, functional GGA-PBE.

Summary:
Total magnetization (μB/cell): 5.062

a = 4.5572 Å, b = 4.5572 Å, c = 5.1906 Å
α = 90.00°, β = 90.00°, γ = 90.00°
Space group P4/mmm (No. 123)
Unique sites:
Mn1 0.0000 0.0000 0.0000 [1 per cell]
Re1 0.5000 0.5000 0.5000 [1 per cell]
P1 0.0000 0.5000 0.5000 [2 per cell]
Cl1 0.5000 0.5000 0.0000 [1 per cell]

## ii
A relaxed structure of MnReP2Cl. Source: the Alexandria database, functional GGA-PBE.

Summary:
Total magnetization (μB/cell): 6.046

a = 4.5476 Å, b = 4.5476 Å, c = 4.4301 Å
α = 90.00°, β = 90.00°, γ = 90.00°
Space group P4/mmm (No. 123)
Unique sites:
Mn1 0.0000 0.0000 0.0000 [1 per cell]
Re1 0.5000 0.5000 0.5000 [1 per cell]
P1 0.0000 0.5000 0.0000 [2 per cell]
Cl1 0.0000 0.0000 0.5000 [1 per cell]

Most stable structure, least stable structure: i, ii.

## i
A relaxed structure of MnP2RhCl. Source: the Alexandria database, functional GGA-PBE.

Summary:
Total magnetization (μB/cell): 0.115

a = 4.5285 Å, b = 4.5285 Å, c = 4.9602 Å
α = 90.00°, β = 90.00°, γ = 90.00°
Space group P4/mmm (No. 123)
Unique sites:
Mn1 0.0000 0.0000 0.0000 [1 per cell]
P1 0.0000 0.5000 0.5000 [2 per cell]
Rh1 0.5000 0.5000 0.5000 [1 per cell]
Cl1 0.5000 0.5000 0.0000 [1 per cell]

## ii
A relaxed structure of MnP2RhCl. Source: the Alexandria database, functional GGA-PBE.

Summary:
Total magnetization (μB/cell): 0.596

a = 4.2419 Å, b = 4.2419 Å, c = 4.7769 Å
α = 90.00°, β = 90.00°, γ = 90.00°
Space group P4/mmm (No. 123)
Unique sites:
Mn1 0.0000 0.0000 0.0000 [1 per cell]
P1 0.0000 0.5000 0.0000 [2 per cell]
Rh1 0.5000 0.5000 0.5000 [1 per cell]
Cl1 0.0000 0.0000 0.5000 [1 per cell]

Most stable structure, least stable structure: ii, i.

## i
A relaxed structure of MnPRuCl2. Source: the Alexandria database, functional GGA-PBE.

Summary:
Total magnetization (μB/cell): 5.404

a = 4.9195 Å, b = 4.9195 Å, c = 4.4921 Å
α = 90.00°, β = 90.00°, γ = 90.00°
Space group P4/mmm (No. 123)
Unique sites:
Mn1 0.0000 0.0000 0.0000 [1 per cell]
P1 0.5000 0.5000 0.0000 [1 per cell]
Ru1 0.5000 0.5000 0.5000 [1 per cell]
Cl1 0.0000 0.5000 0.5000 [2 per cell]

## ii
A relaxed structure of MnPRuCl2. Source: the Alexandria database, functional GGA-PBE.

Summary:
Total magnetization (μB/cell): 2.919

a = 4.6528 Å, b = 4.6528 Å, c = 4.3946 Å
α = 90.00°, β = 90.00°, γ = 90.00°
Space group P4/mmm (No. 123)
Unique sites:
Mn1 0.0000 0.0000 0.0000 [1 per cell]
P1 0.0000 0.0000 0.5000 [1 per cell]
Ru1 0.5000 0.5000 0.5000 [1 per cell]
Cl1 0.0000 0.5000 0.0000 [2 per cell]

Most stable structure, least stable structure: i, ii.

## i
A relaxed structure of MnP2RuCl. Source: the Alexandria database, functional GGA-PBE.

Summary:
Total magnetization (μB/cell): 0.358

a = 4.3846 Å, b = 4.3846 Å, c = 4.6343 Å
α = 90.00°, β = 90.00°, γ = 90.00°
Space group P4/mmm (No. 123)
Unique sites:
Mn1 0.0000 0.0000 0.0000 [1 per cell]
P1 0.0000 0.5000 0.0000 [2 per cell]
Ru1 0.5000 0.5000 0.5000 [1 per cell]
Cl1 0.0000 0.0000 0.5000 [1 per cell]

## ii
A relaxed structure of MnP2RuCl. Source: the Alexandria database, functional GGA-PBE.

Summary:
Total magnetization (μB/cell): 4.700

a = 4.5106 Å, b = 4.5106 Å, c = 5.1093 Å
α = 90.00°, β = 90.00°, γ = 90.00°
Space group P4/mmm (No. 123)
Unique sites:
Mn1 0.0000 0.0000 0.0000 [1 per cell]
P1 0.0000 0.5000 0.5000 [2 per cell]
Ru1 0.5000 0.5000 0.5000 [1 per cell]
Cl1 0.5000 0.5000 0.0000 [1 per cell]

Most stable structure, least stable structure: ii, i.

## i
A relaxed structure of MnPSCl2. Source: the Alexandria database, functional GGA-PBE.

Summary:
Total magnetization (μB/cell): 5.144

a = 4.7212 Å, b = 4.7212 Å, c = 4.7716 Å
α = 90.00°, β = 90.00°, γ = 90.00°
Space group P4/mmm (No. 123)
Unique sites:
Mn1 0.0000 0.0000 0.0000 [1 per cell]
P1 0.5000 0.5000 0.5000 [1 per cell]
S1 0.5000 0.5000 0.0000 [1 per cell]
Cl1 0.0000 0.5000 0.5000 [2 per cell]

## ii
A relaxed structure of MnPSCl2. Source: the Alexandria database, functional GGA-PBE.

Summary:
Total magnetization (μB/cell): 0.265

a = 4.5215 Å, b = 4.5215 Å, c = 4.4763 Å
α = 90.00°, β = 90.00°, γ = 90.00°
Space group P4/mmm (No. 123)
Unique sites:
Mn1 0.0000 0.0000 0.0000 [1 per cell]
P1 0.5000 0.5000 0.5000 [1 per cell]
S1 0.0000 0.0000 0.5000 [1 per cell]
Cl1 0.0000 0.5000 0.0000 [2 per cell]

## iii
A relaxed structure of MnPSCl2. Source: the Alexandria database, functional GGA-PBE.

Summary:
Total magnetization (μB/cell): 5.093

a = 4.7438 Å, b = 4.7438 Å, c = 4.8109 Å
α = 90.00°, β = 90.00°, γ = 90.00°
Space group P4/mmm (No. 123)
Unique sites:
Mn1 0.0000 0.0000 0.0000 [1 per cell]
P1 0.5000 0.5000 0.0000 [1 per cell]
S1 0.5000 0.5000 0.5000 [1 per cell]
Cl1 0.0000 0.5000 0.5000 [2 per cell]

Most stable structure, least stable structure: i, iii.

## i
A relaxed structure of MnPS2Cl. Source: the Alexandria database, functional GGA-PBE.

Summary:
Total magnetization (μB/cell): 0.002

a = 4.2864 Å, b = 4.2864 Å, c = 4.8286 Å
α = 90.00°, β = 90.00°, γ = 90.00°
Space group P4/mmm (No. 123)
Unique sites:
Mn1 0.0000 0.0000 0.0000 [1 per cell]
P1 0.0000 0.0000 0.5000 [1 per cell]
S1 0.0000 0.5000 0.0000 [2 per cell]
Cl1 0.5000 0.5000 0.5000 [1 per cell]

## ii
A relaxed structure of MnPS2Cl. Source: the Alexandria database, functional GGA-PBE.

Summary:
Total magnetization (μB/cell): 4.252

a = 4.6348 Å, b = 4.6348 Å, c = 4.6513 Å
α = 90.00°, β = 90.00°, γ = 90.00°
Space group P4/mmm (No. 123)
Unique sites:
Mn1 0.0000 0.0000 0.0000 [1 per cell]
P1 0.5000 0.5000 0.0000 [1 per cell]
S1 0.0000 0.5000 0.5000 [2 per cell]
Cl1 0.5000 0.5000 0.5000 [1 per cell]

Most stable structure, least stable structure: i, ii.

## i
A relaxed structure of MnPS2Cl. Source: the Alexandria database, functional GGA-PBE.

Summary:
Total magnetization (μB/cell): 5.168

a = 4.6380 Å, b = 4.6380 Å, c = 4.5628 Å
α = 90.00°, β = 90.00°, γ = 90.00°
Space group P4/mmm (No. 123)
Unique sites:
Mn1 0.0000 0.0000 0.0000 [1 per cell]
P1 0.5000 0.5000 0.5000 [1 per cell]
S1 0.0000 0.5000 0.5000 [2 per cell]
Cl1 0.5000 0.5000 0.0000 [1 per cell]

## ii
A relaxed structure of MnPS2Cl. Source: the Alexandria database, functional GGA-PBE.

Summary:
Total magnetization (μB/cell): 0.000

a = 4.4224 Å, b = 4.4224 Å, c = 4.4996 Å
α = 90.00°, β = 90.00°, γ = 90.00°
Space group P4/mmm (No. 123)
Unique sites:
Mn1 0.0000 0.0000 0.0000 [1 per cell]
P1 0.5000 0.5000 0.5000 [1 per cell]
S1 0.0000 0.5000 0.0000 [2 per cell]
Cl1 0.0000 0.0000 0.5000 [1 per cell]

Most stable structure, least stable structure: i, ii.

## i
A relaxed structure of MnSbPCl2. Source: the Alexandria database, functional GGA-PBE.

Summary:
Total magnetization (μB/cell): 0.063

a = 4.4872 Å, b = 4.4872 Å, c = 4.8681 Å
α = 90.00°, β = 90.00°, γ = 90.00°
Space group P4/mmm (No. 123)
Unique sites:
Mn1 0.0000 0.0000 0.0000 [1 per cell]
Sb1 0.5000 0.5000 0.5000 [1 per cell]
P1 0.0000 0.0000 0.5000 [1 per cell]
Cl1 0.0000 0.5000 0.0000 [2 per cell]

## ii
A relaxed structure of MnSbPCl2. Source: the Alexandria database, functional GGA-PBE.

Summary:
Total magnetization (μB/cell): 5.368

a = 5.1787 Å, b = 5.1787 Å, c = 5.3256 Å
α = 90.00°, β = 90.00°, γ = 90.00°
Space group P4/mmm (No. 123)
Unique sites:
Mn1 0.0000 0.0000 0.0000 [1 per cell]
Sb1 0.5000 0.5000 0.5000 [1 per cell]
P1 0.5000 0.5000 0.0000 [1 per cell]
Cl1 0.0000 0.5000 0.5000 [2 per cell]

Most stable structure, least stable structure: i, ii.

## i
A relaxed structure of MnSiP2Cl. Source: the Alexandria database, functional GGA-PBE.

Summary:
Total magnetization (μB/cell): 0.449

a = 4.2919 Å, b = 4.2919 Å, c = 5.0250 Å
α = 90.00°, β = 90.00°, γ = 90.00°
Space group P4/mmm (No. 123)
Unique sites:
Mn1 0.0000 0.0000 0.0000 [1 per cell]
Si1 0.5000 0.5000 0.5000 [1 per cell]
P1 0.0000 0.5000 0.0000 [2 per cell]
Cl1 0.0000 0.0000 0.5000 [1 per cell]

## ii
A relaxed structure of MnSiP2Cl. Source: the Alexandria database, functional GGA-PBE.

Summary:
Total magnetization (μB/cell): 4.461

a = 4.5593 Å, b = 4.5593 Å, c = 4.6918 Å
α = 90.00°, β = 90.00°, γ = 90.00°
Space group P4/mmm (No. 123)
Unique sites:
Mn1 0.0000 0.0000 0.0000 [1 per cell]
Si1 0.5000 0.5000 0.5000 [1 per cell]
P1 0.0000 0.5000 0.5000 [2 per cell]
Cl1 0.5000 0.5000 0.0000 [1 per cell]

Most stable structure, least stable structure: i, ii.

## i
A relaxed structure of SrMnPCl2. Source: the Alexandria database, functional GGA-PBE.

Summary:
Total magnetization (μB/cell): 0.046

a = 4.8948 Å, b = 4.8948 Å, c = 4.4216 Å
α = 90.00°, β = 90.00°, γ = 90.00°
Space group P4/mmm (No. 123)
Unique sites:
Sr1 0.0000 0.0000 0.0000 [1 per cell]
Mn1 0.5000 0.5000 0.5000 [1 per cell]
P1 0.5000 0.5000 0.0000 [1 per cell]
Cl1 0.0000 0.5000 0.5000 [2 per cell]

## ii
A relaxed structure of SrMnPCl2. Source: the Alexandria database, functional GGA-PBE.

Summary:
Total magnetization (μB/cell): 3.892

a = 5.4395 Å, b = 5.4395 Å, c = 6.1803 Å
α = 90.00°, β = 90.00°, γ = 90.00°
Space group P4/mmm (No. 123)
Unique sites:
Sr1 0.0000 0.0000 0.0000 [1 per cell]
Mn1 0.5000 0.5000 0.5000 [1 per cell]
P1 0.0000 0.0000 0.5000 [1 per cell]
Cl1 0.0000 0.5000 0.0000 [2 per cell]

Most stable structure, least stable structure: i, ii.

## i
A relaxed structure of TaMnPCl2. Source: the Alexandria database, functional GGA-PBE.

Summary:
Total magnetization (μB/cell): 3.790

a = 4.4017 Å, b = 4.4017 Å, c = 5.1003 Å
α = 90.00°, β = 90.00°, γ = 90.00°
Space group P4/mmm (No. 123)
Unique sites:
Ta1 0.0000 0.0000 0.0000 [1 per cell]
Mn1 0.5000 0.5000 0.5000 [1 per cell]
P1 0.5000 0.5000 0.0000 [1 per cell]
Cl1 0.0000 0.5000 0.5000 [2 per cell]

## ii
A relaxed structure of TaMnPCl2. Source: the Alexandria database, functional GGA-PBE.

Summary:
Total magnetization (μB/cell): 5.352

a = 4.7962 Å, b = 4.7962 Å, c = 4.9920 Å
α = 90.00°, β = 90.00°, γ = 90.00°
Space group P4/mmm (No. 123)
Unique sites:
Ta1 0.0000 0.0000 0.0000 [1 per cell]
Mn1 0.5000 0.5000 0.5000 [1 per cell]
P1 0.0000 0.0000 0.5000 [1 per cell]
Cl1 0.0000 0.5000 0.0000 [2 per cell]

Most stable structure, least stable structure: ii, i.

## i
A relaxed structure of MnTcPCl2. Source: the Alexandria database, functional GGA-PBE.

Summary:
Total magnetization (μB/cell): 4.507

a = 4.9097 Å, b = 4.9097 Å, c = 4.5883 Å
α = 90.00°, β = 90.00°, γ = 90.00°
Space group P4/mmm (No. 123)
Unique sites:
Mn1 0.0000 0.0000 0.0000 [1 per cell]
Tc1 0.5000 0.5000 0.5000 [1 per cell]
P1 0.5000 0.5000 0.0000 [1 per cell]
Cl1 0.0000 0.5000 0.5000 [2 per cell]

## ii
A relaxed structure of MnTcPCl2. Source: the Alexandria database, functional GGA-PBE.

Summary:
Total magnetization (μB/cell): 8.427

a = 4.5283 Å, b = 4.5283 Å, c = 5.1829 Å
α = 90.00°, β = 90.00°, γ = 90.00°
Space group P4/mmm (No. 123)
Unique sites:
Mn1 0.0000 0.0000 0.0000 [1 per cell]
Tc1 0.5000 0.5000 0.5000 [1 per cell]
P1 0.0000 0.0000 0.5000 [1 per cell]
Cl1 0.0000 0.5000 0.0000 [2 per cell]

Most stable structure, least stable structure: i, ii.